No. 1
A relaxed ZrHOs3 crystal, computed with GGA-PBE.

The structure in CIF format:
```
data_ZrHOs3
_symmetry_space_group_name_H-M 'P m -3 m'
_symmetry_Int_Tables_number 221
_symmetry_space_group_name_Hall '-P 4 2 3'
_cell_length_a 4.8933
_cell_length_b 4.8933
_cell_length_c 4.8933
_cell_angle_alpha 90.00
_cell_angle_beta 90.00
_cell_angle_gamma 90.00
loop_
_atom_site_label
_atom_site_type_symbol
_atom_site_fract_x
_atom_site_fract_y
_atom_site_fract_z
Zr1 Zr 0.0000 0.0000 0.0000
H1 H 0.5000 0.5000 0.5000
Os1 Os 0.0000 0.0000 0.5000
```

## Properties
The offset from the most stable computed form comes out at 1521 kJ/mol of formula units. The calculation puts the electronic total energy at -5.950 eV/atom. The theoretical density comes out at 9.395 Mg/m³. As for the total moment: 4.82 μB per cell.

No. 2
A relaxed ZrHOs crystal, computed with GGA-PBE.

The structure in CIF format:
```
data_ZrHOs
_symmetry_space_group_name_H-M 'A e m 2'
_symmetry_Int_Tables_number 39
_symmetry_space_group_name_Hall 'A 2 -2b'
_cell_length_a 7.0805
_cell_length_b 4.9319
_cell_length_c 4.9331
_cell_angle_alpha 90.00
_cell_angle_beta 90.00
_cell_angle_gamma 90.00
loop_
_atom_site_label
_atom_site_type_symbol
_atom_site_fract_x
_atom_site_fract_y
_atom_site_fract_z
Zr1 Zr 0.1648 0.2500 0.0000
H1 H 0.1263 0.2500 0.4883
Os1 Os 0.5000 0.0000 0.2521
```

## Properties
The calculation puts the electronic total energy at -7.669 eV/atom. The theoretical density comes out at 10.891 Mg/m³. As for the total moment: 0.00 μB per cell.

No. 3
A relaxed Zr2H2Os crystal, computed with GGA-PBE.

The structure in CIF format:
```
data_Zr2H2Os
_symmetry_space_group_name_H-M 'P 4/m m m'
_symmetry_Int_Tables_number 123
_symmetry_space_group_name_Hall '-P 4 2'
_cell_length_a 3.1889
_cell_length_b 3.1889
_cell_length_c 6.4770
_cell_angle_alpha 90.00
_cell_angle_beta 90.00
_cell_angle_gamma 90.00
loop_
_atom_site_label
_atom_site_type_symbol
_atom_site_fract_x
_atom_site_fract_y
_atom_site_fract_z
Zr1 Zr 0.0000 0.0000 0.2407
H1 H 0.0000 0.5000 0.0000
Os1 Os 0.5000 0.5000 0.5000
```

## Properties
The offset from the most stable computed form comes out at 74 kJ/mol of formula units. The calculation puts the electronic total energy at -7.411 eV/atom. The theoretical density comes out at 9.447 Mg/m³. As for the total moment: 0.00 μB per cell.

No. 4
A relaxed P2H crystal, computed with GGA-PBE.

The structure in CIF format:
```
data_P2H
_symmetry_space_group_name_H-M 'P -1'
_symmetry_Int_Tables_number 2
_symmetry_space_group_name_Hall '-P 1'
_cell_length_a 3.3085
_cell_length_b 5.5385
_cell_length_c 6.7670
_cell_angle_alpha 105.57
_cell_angle_beta 92.51
_cell_angle_gamma 103.84
loop_
_atom_site_label
_atom_site_type_symbol
_atom_site_fract_x
_atom_site_fract_y
_atom_site_fract_z
P1 P 0.0039 0.0439 0.3492
P2 P 0.3873 0.7895 0.1844
H1 H 0.3203 0.5989 0.2958
```

## Properties
The offset from the most stable computed form comes out at 0 kJ/mol of formula units. The calculation puts the electronic total energy at -4.719 eV/atom. The theoretical density comes out at 1.815 Mg/m³. As for the total moment: 0.00 μB per cell.

No. 5
A relaxed P2H crystal, computed with GGA-PBE.

The structure in CIF format:
```
data_P2H
_symmetry_space_group_name_H-M 'P 1'
_symmetry_Int_Tables_number 1
_symmetry_space_group_name_Hall 'P 1'
_cell_length_a 3.5478
_cell_length_b 5.4651
_cell_length_c 5.7651
_cell_angle_alpha 92.75
_cell_angle_beta 107.55
_cell_angle_gamma 108.78
loop_
_atom_site_label
_atom_site_type_symbol
_atom_site_fract_x
_atom_site_fract_y
_atom_site_fract_z
P1 P 0.0000 0.0000 0.0000
P2 P 0.0523 0.5066 0.6076
P3 P 0.3526 0.7155 0.9982
P4 P 0.8684 0.0808 0.6116
H1 H 0.2553 0.0638 0.5923
H2 H 0.6375 0.5154 0.5743
```

## Properties
The offset from the most stable computed form comes out at 28 kJ/mol of formula units. The calculation puts the electronic total energy at -4.624 eV/atom. The theoretical density comes out at 2.099 Mg/m³. As for the total moment: 0.00 μB per cell.

No. 6
A relaxed P8H crystal, computed with GGA-PBE.

The structure in CIF format:
```
data_P8H
_symmetry_space_group_name_H-M 'P 1'
_symmetry_Int_Tables_number 1
_symmetry_space_group_name_Hall 'P 1'
_cell_length_a 6.1040
_cell_length_b 6.1554
_cell_length_c 6.6126
_cell_angle_alpha 105.57
_cell_angle_beta 105.13
_cell_angle_gamma 113.70
loop_
_atom_site_label
_atom_site_type_symbol
_atom_site_fract_x
_atom_site_fract_y
_atom_site_fract_z
P1 P 0.0000 0.0000 0.0000
P2 P 0.0015 0.9953 0.4967
P3 P 0.2584 0.0050 0.8142
P4 P 0.2918 0.0508 0.3301
P5 P 0.5052 0.4973 0.4990
P6 P 0.5414 0.4452 0.9988
P7 P 0.8124 0.5625 0.8223
P8 P 0.8149 0.5584 0.3617
H1 H 0.3987 0.5824 0.0021
```

## Properties
The calculation puts the electronic total energy at -5.052 eV/atom. The theoretical density comes out at 2.075 Mg/m³. As for the total moment: 0.00 μB per cell.

No. 7
A relaxed P2H3 crystal, computed with GGA-PBE.

The structure in CIF format:
```
data_P2H3
_symmetry_space_group_name_H-M 'P 1'
_symmetry_Int_Tables_number 1
_symmetry_space_group_name_Hall 'P 1'
_cell_length_a 4.2227
_cell_length_b 5.4511
_cell_length_c 7.8915
_cell_angle_alpha 84.51
_cell_angle_beta 75.68
_cell_angle_gamma 67.30
loop_
_atom_site_label
_atom_site_type_symbol
_atom_site_fract_x
_atom_site_fract_y
_atom_site_fract_z
P1 P 0.0000 0.0000 0.0000
P2 P 0.1977 0.5599 0.5537
P3 P 0.3976 0.1576 0.0539
P4 P 0.6428 0.7177 0.5000
H1 H 0.0329 0.0959 0.8245
H2 H 0.0952 0.5952 0.7377
H3 H 0.2611 0.4419 0.0452
H4 H 0.3306 0.1219 0.2379
H5 H 0.3446 0.2756 0.5448
H6 H 0.7709 0.6224 0.3244
```

## Properties
The calculation puts the electronic total energy at -4.108 eV/atom. The theoretical density comes out at 1.329 Mg/m³. As for the total moment: 0.00 μB per cell.

No. 8
A relaxed P2H crystal, computed with GGA-PBE.

The structure in CIF format:
```
data_P2H
_symmetry_space_group_name_H-M 'P -1'
_symmetry_Int_Tables_number 2
_symmetry_space_group_name_Hall '-P 1'
_cell_length_a 3.5871
_cell_length_b 5.5480
_cell_length_c 6.1066
_cell_angle_alpha 116.61
_cell_angle_beta 92.05
_cell_angle_gamma 102.63
loop_
_atom_site_label
_atom_site_type_symbol
_atom_site_fract_x
_atom_site_fract_y
_atom_site_fract_z
P1 P 0.2097 0.1586 0.1674
P2 P 0.2789 0.5489 0.1354
H1 H 0.0804 0.7877 0.6748
```

## Properties
The offset from the most stable computed form comes out at 21 kJ/mol of formula units. The calculation puts the electronic total energy at -4.648 eV/atom. The theoretical density comes out at 1.996 Mg/m³. As for the total moment: 0.00 μB per cell.

Q: What is the total moment in the seventh record?
A: 0.00 μB per cell

Q: Look up the electronic total energy of the first one.
A: -5.950 eV/atom

Q: Number 7 is which compound?
A: P2H3

Q: What is the formula in the seventh record?
A: P2H3